[1]
DFT (PBE) results for a geometry-optimized La5AuSe8 structure.

Crystal system = tetragonal

Cell and atoms, written as POSCAR:
```
La5AuSe8
1.0
7.857 -0.024 0.041
-2.681 7.386 -0.041
-2.495 -3.746 6.440
La Au Se
5 1 8
Cartesian
-1.234 2.314 0.866 La
3.810 5.559 1.583 La
2.687 2.166 4.090 La
2.681 -1.885 3.241 La
0.100 -2.807 6.342 La
-1.248 0.877 4.820 Au
-0.934 5.464 0.111 Se
5.541 -1.850 4.735 Se
4.361 0.415 2.271 Se
1.836 -0.404 5.719 Se
1.596 3.492 1.629 Se
0.281 3.257 5.502 Se
0.474 0.361 2.533 Se
-2.431 3.729 3.262 Se
```

[2]
DFT (PBE) results for a geometry-optimized La2AuSe structure.

E above lowest polymorph = 0.185 eV/atom
Crystal system = orthorhombic

Cell and atoms, written as POSCAR:
```
La2AuSe
1.0
-1.816 4.712 -6.374
-6.467 2.439 -4.284
3.868 -1.372 7.020
Au La Se
1 2 1
Cartesian
-3.733 2.634 -1.762 Au
-7.931 6.847 -10.204 La
-0.681 3.143 -1.873 La
-4.496 3.881 -5.784 Se
```

[3]
DFT (PBE) results for a geometry-optimized LaAuSe2 structure.

E above lowest polymorph = 0.138 eV/atom
Crystal system = monoclinic

Cell and atoms, written as POSCAR:
```
LaAuSe2
1.0
5.979 -0.001 -0.017
4.534 3.898 -0.017
0.191 0.071 4.609
Au La Se
1 1 2
Cartesian
5.762 2.136 1.986 Au
2.759 1.023 0.950 La
10.235 3.794 0.647 Se
7.816 2.897 3.248 Se
```

[4]
DFT (PBE) results for a geometry-optimized La2AuSe structure.

E above lowest polymorph = 0.121 eV/atom
Crystal system = orthorhombic

Cell and atoms, written as POSCAR:
```
La2AuSe
1.0
6.278 0.004 -0.007
5.034 3.751 -0.007
0.006 0.002 4.739
Au La Se
1 2 1
Cartesian
2.938 0.975 0.587 Au
11.306 3.753 0.580 La
8.510 2.825 2.950 La
5.533 1.837 2.956 Se
```

[5]
DFT (PBE) results for a geometry-optimized La2AuSe structure.

E above lowest polymorph = 0.922 eV/atom
Crystal system = cubic

Cell and atoms, written as POSCAR:
```
La2AuSe
1.0
-5.175 0.830 -0.192
-3.272 -3.259 2.485
-2.557 1.615 4.284
Au La Se
1 2 1
Cartesian
-5.502 -0.407 3.289 Au
0.000 0.000 0.000 La
-2.751 -0.203 1.644 La
-8.253 -0.610 4.933 Se
```

[6]
DFT (PBE) results for a geometry-optimized LaAu2Se structure.

Crystal system = orthorhombic

Cell and atoms, written as POSCAR:
```
LaAu2Se
1.0
3.913 0.000 0.000
0.000 3.992 -0.313
0.000 -1.484 6.728
Au La Se
2 1 1
Cartesian
0.000 2.819 0.754 Au
1.957 0.817 0.833 Au
0.000 1.016 3.384 La
1.957 -0.892 4.651 Se
```

[7]
DFT (PBE) results for a geometry-optimized LaAuSe2 structure.

E above lowest polymorph = 0.099 eV/atom
Crystal system = monoclinic

Cell and atoms, written as POSCAR:
```
LaAuSe2
1.0
-0.952 -3.628 2.541
3.980 -1.227 -0.261
3.858 2.098 4.441
Au La Se
1 1 2
Cartesian
2.714 0.634 1.922 Au
6.247 -0.939 5.039 La
4.542 1.352 3.631 Se
1.159 -1.270 2.660 Se
```

[8]
DFT (PBE) results for a geometry-optimized LaAuSe2 structure.

E above lowest polymorph = 0.000 eV/atom
Crystal system = orthorhombic

Cell and atoms, written as POSCAR:
```
LaAuSe2
1.0
-3.197 -3.315 4.600
0.538 -6.801 -4.528
6.630 -1.719 3.369
La Au Se
4 4 8
Cartesian
3.869 -6.105 5.929 La
2.660 -3.062 1.213 La
0.102 -5.729 -2.487 La
1.310 -8.773 2.228 La
3.385 -2.935 4.810 Au
0.586 -8.899 -1.369 Au
0.316 -5.499 0.894 Au
3.655 -6.336 2.547 Au
5.263 -8.346 -1.646 Se
-1.024 -6.889 2.823 Se
-1.292 -3.489 5.087 Se
4.995 -4.945 0.618 Se
-0.489 -3.095 0.890 Se
1.940 -7.055 -0.276 Se
4.460 -8.740 2.551 Se
2.031 -4.780 3.717 Se
```

[9]
DFT (PBE) results for a geometry-optimized LaAuSe2 structure.

E above lowest polymorph = 0.086 eV/atom
Crystal system = trigonal

Cell and atoms, written as POSCAR:
```
LaAuSe2
1.0
2.678 0.000 7.687
-1.339 2.319 7.687
-1.339 -2.319 7.687
Au Se La
1 2 1
Cartesian
0.000 0.000 0.000 Au
0.000 0.000 20.636 Se
0.000 0.000 2.425 Se
0.000 0.000 11.531 La
```

[10]
DFT (PBE) results for a geometry-optimized La2AuSe structure.

E above lowest polymorph = 0.665 eV/atom
Crystal system = trigonal

Cell and atoms, written as POSCAR:
```
La2AuSe
1.0
-7.672 -3.088 2.852
-5.063 -6.480 2.983
-5.026 -3.625 6.174
Au La Se
1 2 1
Cartesian
-13.459 -9.997 9.100 Au
-0.401 -0.298 0.271 La
-4.004 -2.974 2.708 La
-8.777 -6.519 5.935 Se
```

[11]
DFT (PBE) results for a geometry-optimized La2AuSe2 structure.

E above lowest polymorph = 0.000 eV/atom
Crystal system = tetragonal

Cell and atoms, written as POSCAR:
```
La2AuSe2
1.0
8.322 0.000 0.000
0.000 8.322 0.000
0.000 0.000 3.787
Au Se La
2 4 4
Cartesian
0.000 0.000 0.000 Au
4.161 4.161 0.000 Au
3.029 7.190 0.000 Se
7.190 5.293 0.000 Se
5.293 1.132 0.000 Se
1.132 3.029 0.000 Se
1.371 5.532 1.894 La
5.532 6.951 1.894 La
6.951 2.790 1.894 La
2.790 1.371 1.894 La
```

[12]
DFT (PBE) results for a geometry-optimized LaAu3Se structure.

E above lowest polymorph = 0.000 eV/atom
Crystal system = cubic

Cell and atoms, written as POSCAR:
```
LaAu3Se
1.0
5.047 0.000 0.000
0.000 5.047 0.000
0.000 0.000 5.047
Au Se La
3 1 1
Cartesian
0.000 2.524 0.000 Au
0.000 0.000 2.524 Au
2.524 0.000 0.000 Au
0.000 0.000 0.000 Se
2.524 2.524 2.524 La
```

[13]
DFT (PBE) results for a geometry-optimized LaAuSe2 structure.

E above lowest polymorph = 0.088 eV/atom
Crystal system = monoclinic

Cell and atoms, written as POSCAR:
```
LaAuSe2
1.0
-2.219 -4.130 -0.111
2.280 -4.081 0.371
-0.728 0.328 6.761
Au La Se
1 1 2
Cartesian
-0.500 -5.912 5.265 Au
-0.167 -1.971 1.755 La
0.026 -7.570 0.530 Se
-0.298 -4.581 3.240 Se
```

[14]
DFT (PBE) results for a geometry-optimized LaAuSe2 structure.

E above lowest polymorph = 0.243 eV/atom
Crystal system = monoclinic

Cell and atoms, written as POSCAR:
```
LaAuSe2
1.0
4.279 0.000 0.000
0.000 6.197 -0.014
0.000 4.532 3.810
Au La Se
1 1 2
Cartesian
2.140 5.364 1.898 Au
0.000 2.266 1.905 La
0.000 0.000 0.000 Se
2.140 3.098 -0.007 Se
```

[15]
DFT (PBE) results for a geometry-optimized LaAu3Se structure.

E above lowest polymorph = 0.704 eV/atom
Crystal system = cubic

Cell and atoms, written as POSCAR:
```
LaAu3Se
1.0
5.707 0.000 0.000
0.000 5.707 0.000
0.000 0.000 5.707
Au Se La
3 1 1
Cartesian
0.000 2.854 0.000 Au
0.000 0.000 2.854 Au
2.854 0.000 0.000 Au
2.854 2.854 2.854 Se
0.000 0.000 0.000 La
```

[16]
DFT (PBE) results for a geometry-optimized LaAuSe2 structure.

E above lowest polymorph = 0.208 eV/atom
Crystal system = tetragonal

Cell and atoms, written as POSCAR:
```
LaAuSe2
1.0
-3.689 0.701 -1.776
-1.668 -3.064 2.255
-1.350 3.945 4.360
Au La Se
1 1 2
Cartesian
-0.632 1.846 2.040 Au
-3.755 1.966 3.718 La
-1.222 3.572 3.948 Se
-3.122 0.116 1.673 Se
```

[17]
DFT (PBE) results for a geometry-optimized La2AuSe structure.

E above lowest polymorph = 0.281 eV/atom
Crystal system = cubic

Cell and atoms, written as POSCAR:
```
La2AuSe
1.0
3.040 -3.962 1.783
-1.647 -5.019 -0.460
2.379 -3.267 -3.432
Au Se La
1 1 2
Cartesian
1.886 -6.124 -1.054 Au
0.000 0.000 0.000 Se
0.943 -3.062 -0.527 La
2.829 -9.186 -1.581 La
```

[18]
DFT (PBE) results for a geometry-optimized LaAuSe2 structure.

E above lowest polymorph = 0.454 eV/atom
Crystal system = orthorhombic

Cell and atoms, written as POSCAR:
```
LaAuSe2
1.0
3.829 -0.001 0.000
-1.165 3.647 0.000
0.000 0.000 7.214
Au La Se
1 1 2
Cartesian
1.332 1.823 1.804 Au
1.332 1.823 5.411 La
0.000 0.000 0.057 Se
0.000 0.000 3.550 Se
```

[19]
DFT (PBE) results for a geometry-optimized LaAu2Se structure.

Crystal system = trigonal

Cell and atoms, written as POSCAR:
```
LaAu2Se
1.0
6.029 -0.061 -0.039
4.254 4.272 -0.039
4.254 1.742 3.901
Au La Se
2 1 1
Cartesian
14.130 5.786 3.715 Au
3.955 1.620 1.040 Au
7.331 3.002 1.927 La
10.928 4.475 2.873 Se
```

[20]
DFT (PBE) results for a geometry-optimized LaAuSe2 structure.

E above lowest polymorph = 0.471 eV/atom
Crystal system = tetragonal

Cell and atoms, written as POSCAR:
```
LaAuSe2
1.0
4.071 0.000 0.000
0.000 4.071 0.000
0.000 0.000 6.269
Au La Se
1 1 2
Cartesian
2.035 2.035 1.567 Au
2.035 2.035 4.702 La
0.000 0.000 5.996 Se
0.000 0.000 3.407 Se
```

[21]
DFT (PBE) results for a geometry-optimized La2AuSe structure.

E above lowest polymorph = 0.053 eV/atom
Crystal system = monoclinic

Cell and atoms, written as POSCAR:
```
La2AuSe
1.0
-2.977 -2.281 -2.068
0.920 -1.805 -3.773
1.613 -7.546 1.583
Au Se La
1 1 2
Cartesian
-0.111 -2.908 -1.064 Au
-0.333 -8.724 -3.193 Se
1.602 -7.519 1.564 La
-0.211 -5.843 -2.110 La
```

[22]
DFT (PBE) results for a geometry-optimized La2AuSe structure.

E above lowest polymorph = 0.331 eV/atom
Crystal system = tetragonal

Cell and atoms, written as POSCAR:
```
La2AuSe
1.0
7.914 0.000 0.000
0.000 7.914 0.000
3.957 3.957 4.024
Au Se La
2 2 4
Cartesian
0.000 0.000 0.000 Au
7.914 3.957 2.012 Au
3.957 3.957 0.000 Se
3.957 7.914 2.012 Se
5.942 1.978 1.006 La
1.972 5.935 1.006 La
5.935 5.929 3.018 La
9.892 9.899 3.018 La
```

[23]
DFT (PBE) results for a geometry-optimized LaAu2Se2 structure.

Crystal system = tetragonal

Cell and atoms, written as POSCAR:
```
LaAu2Se2
1.0
3.935 0.000 0.000
0.000 3.935 0.000
1.967 1.967 7.735
Au Se La
2 2 1
Cartesian
3.935 1.967 3.867 Au
1.967 3.935 3.867 Au
1.967 1.967 1.410 Se
3.935 3.935 6.325 Se
0.000 0.000 0.000 La
```

[24]
DFT (PBE) results for a geometry-optimized LaAu2Se structure.

Crystal system = tetragonal

Cell and atoms, written as POSCAR:
```
LaAu2Se
1.0
4.114 -0.011 0.000
0.011 4.114 0.000
0.000 0.000 5.773
Au La Se
2 1 1
Cartesian
0.000 0.000 5.751 Au
0.000 0.000 2.908 Au
2.062 2.052 1.443 La
2.062 2.052 4.330 Se
```

[25]
DFT (PBE) results for a geometry-optimized La2AuSe structure.

E above lowest polymorph = 0.131 eV/atom
Crystal system = trigonal

Cell and atoms, written as POSCAR:
```
La2AuSe
1.0
-2.677 1.404 2.933
1.077 -0.130 4.070
2.573 7.587 1.741
La Au Se
2 1 1
Cartesian
1.818 5.845 1.885 La
0.220 2.162 2.190 La
1.498 8.415 6.411 Au
0.498 4.455 4.370 Se
```

[26]
DFT (PBE) results for a geometry-optimized LaAu2Se structure.

Crystal system = tetragonal

Cell and atoms, written as POSCAR:
```
LaAu2Se
1.0
5.085 -0.036 0.000
0.028 5.085 0.000
-2.556 -2.525 3.598
Au La Se
2 1 1
Cartesian
0.000 0.000 0.000 Au
0.014 2.542 1.799 Au
2.556 2.525 0.000 La
2.542 -0.018 1.799 Se
```

[27]
DFT (PBE) results for a geometry-optimized La2AuSe structure.

E above lowest polymorph = 0.046 eV/atom
Crystal system = tetragonal

Cell and atoms, written as POSCAR:
```
La2AuSe
1.0
-4.727 3.680 -1.876
-2.844 -3.124 1.037
-0.326 1.631 4.022
Au Se La
1 1 2
Cartesian
-5.138 0.535 3.489 Au
-1.189 -0.560 1.897 Se
-2.774 -1.306 4.426 La
-3.552 1.281 0.959 La
```

[28]
DFT (PBE) results for a geometry-optimized La2AuSe structure.

E above lowest polymorph = 0.173 eV/atom
Crystal system = tetragonal

Cell and atoms, written as POSCAR:
```
La2AuSe
1.0
-2.786 2.107 1.405
-2.333 -1.331 -2.632
-4.256 -6.890 1.890
Au La Se
1 2 1
Cartesian
-6.335 -5.112 0.146 Au
-2.343 -1.358 -2.611 La
-3.285 -4.083 -0.392 La
-3.041 -1.002 0.517 Se
```

[29]
DFT (PBE) results for a geometry-optimized LaSmAuSe structure.

Crystal system = tetragonal

Cell and atoms, written as POSCAR:
```
LaSmAuSe
1.0
-1.072 -4.112 0.192
0.534 -0.336 -4.206
5.992 -1.521 0.882
La Sm Au Se
1 1 1 1
Cartesian
2.727 -2.984 -1.566 La
0.000 0.000 0.000 Sm
2.996 -0.761 0.441 Au
-0.269 -2.224 -2.007 Se
```

Sequential formation energy without anion corrections output: -24.73; -4.76; -4.63; -5.02; -1.82; -3.75; -4.79; -5.19; -4.84; -2.84; -7.18; -0.47; -4.83; -4.21; 3.05; -4.35; -4.38; -3.37; -3.26; -3.31; -5.29; -4.18; -3.72; -2.73; -4.98; -3.13; -5.32; -4.81; -5.10 eV per formula unit